1.
The following is a GGA-PBE calculation of crystalline CaLaSn2 at its relaxed geometry, from Alexandria via LeMat-Bulk.

## Properties
M_tot: 0.00 μB/f.u.
space-group type: Amm2, No. 38
formation energy: -0.726 eV/atom

Lattice parameters (Å, degrees): 4.395 6.380 6.380 44.42 90.00 90.00
Atoms (fractional coordinates):
Ca1 0.000 0.000 0.000
La1 0.500 0.271 0.271
Sn1 0.000 0.721 0.721
Sn2 0.500 0.548 0.548



2.
The following is a GGA-PBE calculation of crystalline CaLaSn2 at its relaxed geometry, from Alexandria via LeMat-Bulk.

## Properties
M_tot: 0.00 μB/f.u.
space-group type: P4/mmm, No. 123
formation energy: -0.680 eV/atom

Lattice parameters (Å, degrees): 5.095 5.095 4.539 90.00 90.00 90.00
Atoms (fractional coordinates):
Ca1 0.000 0.000 0.000
La1 0.500 0.500 0.000
Sn1 0.000 0.500 0.500
Sn2 0.500 0.000 0.500



no.,DOS at the Fermi energy (states/eV/cell)
1,2.5
2,2.6